No. 1
## CSe2 (PBE)

Data for a relaxed structure of CSe2.

Lattice parameters (Å, degrees): 3.0947 3.0947 20.5980 90.00 90.00 120.00
Space group R-3m (No. 166, hexagonal axes)
Inequivalent atoms, fractional coordinates:
C  0.0000  0.0000  0.0000 [3 per cell]
Se  0.0000  0.0000  0.2660 [6 per cell]

Output
spin magnetization = 0.0 μB per formula unit
E above lowest polymorph = 0.8320 eV per atom
DFT total energy = -36.0 eV/cell
raw formation energy = 1.392 eV/atom

---

No. 2
## ScMnAgSn (PBE)

Data for a relaxed structure of ScMnAgSn.

Lattice parameters (Å, degrees): 6.731 6.731 6.731 90.00 90.00 90.00
Space group F-43m (No. 216)
Inequivalent atoms, fractional coordinates:
Sc  0.000  0.000  0.000 [4 per cell]
Mn  0.000  0.000  0.500 [4 per cell]
Ag  0.250  0.250  0.250 [4 per cell]
Sn  0.250  0.250  0.750 [4 per cell]

Output
spin magnetization = 3.3 μB per formula unit
DFT total energy = -91.7 eV/cell
formation energy = -0.140 eV/atom

---

No. 3
## Tm5Bi2Sb (PBE)

Data for a relaxed structure of Tm5Bi2Sb.

Lattice parameters (Å, degrees): 6.064 12.132 13.689 90.00 90.00 90.00
Space group Cmcm (No. 63)
Inequivalent atoms, fractional coordinates:
Tm  0.000  0.065  0.105 [8 per cell]
Tm  0.000  0.379  0.059 [8 per cell]
Tm  0.000  0.383  0.750 [4 per cell]
Bi  0.000  0.190  0.600 [8 per cell]
Sb  0.000  0.247  0.250 [4 per cell]

Output
spin magnetization = 0.0 μB per formula unit
DFT total energy = -148.7 eV/cell
raw formation energy = -0.365 eV/atom

---

No. 4
## IrRu (PBE)

Data for a relaxed structure of IrRu.

Lattice parameters (Å, degrees): 2.748 4.346 4.759 90.00 90.00 90.00
Space group Pmmn (No. 59, origin choice 2)
Inequivalent atoms, fractional coordinates:
Ir  0.250  0.250  0.086 [2 per cell]
Ru  0.250  0.750  0.418 [2 per cell]

Output
spin magnetization = 0.0 μB per formula unit
E above lowest polymorph = 0.0252 eV per atom
DFT total energy = -36.4 eV/cell
formation energy = -0.030 eV/atom

---

No. 5
## La2ZrAu (PBE)

Data for a relaxed structure of La2ZrAu.

Lattice parameters (Å, degrees): 3.698 4.961 6.470 90.00 106.58 90.00
Space group Pm (No. 6)
Inequivalent atoms, fractional coordinates:
La  0.000  0.000  0.000 [1 per cell]
La  0.308  0.500  0.614 [1 per cell]
Zr  0.583  0.500  0.168 [1 per cell]
Au  0.721  0.000  0.441 [1 per cell]

Output
spin magnetization = 0.0 μB per formula unit
E above lowest polymorph = 0.0379 eV per atom
DFT total energy = -22.6 eV/cell
formation energy = -0.223 eV/atom

---

No. 6
## Ta2HgTe (PBE)

Data for a relaxed structure of Ta2HgTe.

Lattice parameters (Å, degrees): 3.3439 3.3439 28.3439 90.00 90.00 120.00
Space group R3m (No. 160, hexagonal axes)
Inequivalent atoms, fractional coordinates:
Ta  0.0000  0.0000  0.0000 [3 per cell]
Ta  0.0000  0.0000  0.2628 [3 per cell]
Hg  0.0000  0.0000  0.7467 [3 per cell]
Te  0.0000  0.0000  0.5228 [3 per cell]

Output
spin magnetization = 0.0 μB per formula unit
E above lowest polymorph = 0.0000 eV per atom
DFT total energy = -79.2 eV/cell
raw formation energy = 0.184 eV/atom

---

No. 7
## NdSmGeAu (PBE)

Data for a relaxed structure of NdSmGeAu.

Lattice parameters (Å, degrees): 4.423 4.163 11.247 90.00 90.00 90.00
Space group Amm2 (No. 38)
Inequivalent atoms, fractional coordinates:
Nd  0.000  0.000  0.000 [2 per cell]
Sm  0.500  0.000  0.277 [2 per cell]
Ge  0.000  0.000  0.727 [2 per cell]
Au  0.500  0.000  0.561 [2 per cell]

Output
spin magnetization = 0.0 μB per formula unit
E above lowest polymorph = 0.0000 eV per atom
DFT total energy = -41.2 eV/cell
formation energy = -0.806 eV/atom

---

No. 8
## Ba5Ga2Bi5 (PBE)

Data for a relaxed structure of Ba5Ga2Bi5.

Lattice parameters (Å, degrees): 17.894 4.847 13.410 90.00 126.82 90.00
Space group C2/m (No. 12)
Inequivalent atoms, fractional coordinates:
Ba  0.000  0.000  0.000 [2 per cell]
Ba  0.130  0.500  0.816 [4 per cell]
Ba  0.185  0.500  0.575 [4 per cell]
Ga  0.153  0.500  0.304 [4 per cell]
Bi  0.000  0.000  0.500 [2 per cell]
Bi  0.056  0.000  0.304 [4 per cell]
Bi  0.192  0.500  0.128 [4 per cell]

Output
spin magnetization = 0.0 μB per formula unit
DFT total energy = -87.1 eV/cell
formation energy = -0.707 eV/atom

---

No. 9
## LuPbSe (PBE)

Data for a relaxed structure of LuPbSe.

Lattice parameters (Å, degrees): 3.696 3.696 11.772 90.00 90.00 90.00
Space group I4mm (No. 107)
Inequivalent atoms, fractional coordinates:
Lu  0.000  0.000  0.000 [2 per cell]
Pb  0.000  0.000  0.305 [2 per cell]
Se  0.000  0.000  0.584 [2 per cell]

Output
spin magnetization = 0.0 μB per formula unit
DFT total energy = -28.7 eV/cell
raw formation energy = -0.873 eV/atom

---

No. 10
## Nb3Ga4Os (PBE)

Data for a relaxed structure of Nb3Ga4Os.

Lattice parameters (Å, degrees): 3.438 8.357 9.146 90.00 90.00 90.00
Space group Pmmn (No. 59, origin choice 2)
Inequivalent atoms, fractional coordinates:
Nb  0.250  0.019  0.130 [4 per cell]
Nb  0.250  0.250  0.823 [2 per cell]
Ga  0.250  0.250  0.356 [2 per cell]
Ga  0.250  0.503  0.621 [4 per cell]
Ga  0.250  0.750  0.946 [2 per cell]
Os  0.250  0.750  0.412 [2 per cell]

Output
spin magnetization = 0.0 μB per formula unit
DFT total energy = -110.8 eV/cell
formation energy = -0.229 eV/atom

---

No. 11
## PrDy6Er3Tm2 (PBE)

Data for a relaxed structure of PrDy6Er3Tm2.

Lattice parameters (Å, degrees): 6.126 10.600 11.729 90.00 99.97 90.00
Space group C2/m (No. 12)
Inequivalent atoms, fractional coordinates:
Pr  0.000  0.000  0.000 [2 per cell]
Dy  0.248  0.333  0.748 [8 per cell]
Dy  0.250  0.000  0.748 [4 per cell]
Er  0.000  0.167  0.500 [4 per cell]
Er  0.000  0.500  0.500 [2 per cell]
Tm  0.000  0.333  0.000 [4 per cell]

Output
spin magnetization = 0.0 μB per formula unit
DFT total energy = -109.6 eV/cell
formation energy = 0.020 eV/atom

---

No. 12
## Mg4In3Cu2 (PBE)

Data for a relaxed structure of Mg4In3Cu2.

Lattice parameters (Å, degrees): 14.288 4.444 5.884 90.00 94.09 90.00
Space group C2/m (No. 12)
Inequivalent atoms, fractional coordinates:
Mg  0.081  0.000  0.345 [4 per cell]
Mg  0.210  0.500  0.149 [4 per cell]
In  0.000  0.500  0.000 [2 per cell]
In  0.158  0.500  0.642 [4 per cell]
Cu  0.100  0.000  0.875 [4 per cell]

Output
spin magnetization = 0.0 μB per formula unit
DFT total energy = -46.6 eV/cell
formation energy = -0.056 eV/atom